Entry from Alexandria: an optimized crystal structure of Nd8SmSc2 (GGA-PBE).

## Properties
* ΔH_f (0 K): 0.15 eV/atom
* electronic total energy: -53.8 eV per cell
* symmetry: C2/m, No. 12

abc: 9.2954 9.2954 5.9330
angles: 105.08 105.08 121.65
Last column: nearest neighbours and their distance in Å.
Fractional positions:
Nd: 0.0969 0.3371 0.6722  6 Nd 3.32-3.71, 2 Sc 3.42-3.50
Nd: 0.2083 0.7917 0.0000  1 Sm 3.38, 2 Sc 3.39, 6 Nd 3.58-3.71
Nd: 0.3371 0.0969 0.6722  6 Nd 3.32-3.71, 2 Sc 3.42-3.50
Nd: 0.4205 0.4205 0.2060  3 Nd 2.98-3.32, 1 Sm 3.32
Nd: 0.5795 0.5795 0.7940  3 Nd 2.98-3.32, 1 Sm 3.32
Nd: 0.6629 0.9031 0.3278  6 Nd 3.32-3.71, 2 Sc 3.42-3.50
Nd: 0.7917 0.2083 0.0000  1 Sm 3.38, 2 Sc 3.39, 6 Nd 3.58-3.71
Nd: 0.9031 0.6629 0.3278  6 Nd 3.32-3.71, 2 Sc 3.42-3.50
Sm: 0.0000 0.0000 0.0000  4 Nd 3.32-3.38
Sc: 0.3099 0.6901 0.5000  8 Nd 3.39-3.50
Sc: 0.6901 0.3099 0.5000  8 Nd 3.39-3.50

***

Entry from Alexandria: an optimized crystal structure of NdSm5Sc (GGA-PBE).

## Properties
* ΔH_f (0 K): 0.25 eV/atom
* electronic total energy: -33.0 eV per cell
* symmetry: P4/mmm, No. 123

abc: 5.3025 5.3025 8.6128
angles: 90.00 90.00 90.00
Last column: nearest neighbours and their distance in Å.
Fractional positions:
Nd: 0.0000 0.0000 0.0000  12 Sm 3.63-3.75
Sm: 0.0000 0.5000 0.2884  2 Sc 3.22
Sm: 0.0000 0.5000 0.7116  2 Sc 3.22
Sm: 0.5000 0.0000 0.2884  2 Sc 3.22
Sm: 0.5000 0.0000 0.7116  2 Sc 3.22
Sm: 0.5000 0.5000 0.0000  8 Sm 3.63, 4 Nd 3.75
Sc: 0.0000 0.0000 0.5000  8 Sm 3.22

***

Entry from Alexandria: an optimized crystal structure of NdSm4Sc2 (GGA-PBE).

## Properties
* ΔH_f (0 K): 0.18 eV/atom
* electronic total energy: -70.1 eV per cell
* symmetry: P2_1/m, No. 11

abc: 8.6265 6.4774 8.9516
angles: 90.00 117.92 90.00
Last column: nearest neighbours and their distance in Å.
Fractional positions:
Nd: 0.0761 0.2500 0.3383  4 Sm 3.29-3.50, 4 Sc 3.29-3.47
Nd: 0.9239 0.7500 0.6617  4 Sm 3.29-3.50, 4 Sc 3.29-3.47
Sm: 0.2402 0.2500 0.7586  2 Sc 3.21-3.35, 1 Nd 3.34, 3 Sm 3.38-3.47
Sm: 0.3501 0.7500 0.9114  1 Nd 3.29, 1 Sc 3.37, 7 Sm 3.38-3.63
Sm: 0.3964 0.0025 0.2673  3 Sm 3.21-3.43, 3 Sc 3.43-3.58, 1 Nd 3.50
Sm: 0.3964 0.4975 0.2673  3 Sm 3.21-3.43, 3 Sc 3.43-3.58, 1 Nd 3.50
Sm: 0.6036 0.5025 0.7327  3 Sm 3.21-3.43, 3 Sc 3.43-3.58, 1 Nd 3.50
Sm: 0.6036 0.9975 0.7327  3 Sm 3.21-3.43, 3 Sc 3.43-3.58, 1 Nd 3.50
Sm: 0.6499 0.2500 0.0886  1 Nd 3.29, 1 Sc 3.37, 7 Sm 3.38-3.63
Sm: 0.7598 0.7500 0.2414  2 Sc 3.21-3.35, 1 Nd 3.34, 3 Sm 3.38-3.47
Sc: 0.0026 0.7500 0.0586  3 Sm 3.21-3.43, 1 Nd 3.29, 3 Sc 3.40-3.41
Sc: 0.1954 0.7500 0.4889  6 Sm 3.35-3.58, 3 Nd 3.36-3.47, 1 Sc 3.41
Sc: 0.8046 0.2500 0.5111  6 Sm 3.35-3.58, 3 Nd 3.36-3.47, 1 Sc 3.41
Sc: 0.9974 0.2500 0.9414  3 Sm 3.21-3.43, 1 Nd 3.29, 3 Sc 3.40-3.41

***

Entry from Alexandria: an optimized crystal structure of Nd4SmSc5 (GGA-PBE).

## Properties
* ΔH_f (0 K): 0.05 eV/atom
* electronic total energy: -54.9 eV per cell
* symmetry: P4/mmm, No. 123

abc: 3.6275 3.6275 22.2646
angles: 90.00 90.00 90.00
Last column: nearest neighbours and their distance in Å.
Fractional positions:
Nd: 0.0000 0.0000 0.1003  8 Sc 3.40, 4 Nd 3.63
Nd: 0.0000 0.0000 0.3010  8 Sc 3.40, 4 Nd 3.63
Nd: 0.0000 0.0000 0.6990  8 Sc 3.40, 4 Nd 3.63
Nd: 0.0000 0.0000 0.8997  8 Sc 3.40, 4 Nd 3.63
Sm: 0.0000 0.0000 0.5000  8 Sc 3.38, 4 Sm 3.63
Sc: 0.5000 0.5000 0.0000  8 Nd 3.40, 4 Sc 3.63
Sc: 0.5000 0.5000 0.2007  8 Nd 3.40, 4 Sc 3.63
Sc: 0.5000 0.5000 0.4012  4 Sm 3.38, 4 Nd 3.40, 4 Sc 3.63
Sc: 0.5000 0.5000 0.5988  4 Sm 3.38, 4 Nd 3.40, 4 Sc 3.63
Sc: 0.5000 0.5000 0.7993  8 Nd 3.40, 4 Sc 3.63

***

Entry from Alexandria: an optimized crystal structure of Nd2Sm7Sc (GGA-PBE).

## Properties
* ΔH_f (0 K): 0.17 eV/atom
* electronic total energy: -47.2 eV per cell
* symmetry: Cmmm, No. 65

abc: 14.9150 14.9150 3.4564
angles: 90.00 90.00 154.18
Last column: nearest neighbours and their distance in Å.
Fractional positions:
Nd: 0.2042 0.7958 0.0000  2 Nd 3.46, 8 Sm 3.59-3.79
Nd: 0.7958 0.2042 0.0000  2 Nd 3.46, 8 Sm 3.59-3.79
Sm: 0.0000 0.0000 0.0000  6 Sm 3.28-3.46
Sm: 0.1634 0.3553 0.0000  7 Sm 3.21-3.55, 1 Nd 3.59
Sm: 0.3130 0.6870 0.5000  6 Sm 3.46-3.55, 6 Nd 3.61-3.79
Sm: 0.3553 0.1634 0.0000  7 Sm 3.21-3.55, 1 Nd 3.59
Sm: 0.6447 0.8366 0.0000  7 Sm 3.21-3.55, 1 Nd 3.59
Sm: 0.6870 0.3130 0.5000  6 Sm 3.46-3.55, 6 Nd 3.61-3.79
Sm: 0.8366 0.6447 0.0000  7 Sm 3.21-3.55, 1 Nd 3.59
Sc: 0.5000 0.5000 0.5000  2 Sc 3.46, 12 Sm 3.65-3.75

***

Entry from Alexandria: an optimized crystal structure of NdSm5Sc4 (GGA-PBE).

## Properties
* ΔH_f (0 K): 0.33 eV/atom
* electronic total energy: -50.4 eV per cell
* symmetry: I4, No. 79

abc: 7.6858 7.6858 7.6858
angles: 99.45 99.45 132.20
Last column: nearest neighbours and their distance in Å.
Fractional positions:
Nd: 0.0000 0.0000 0.0000  1 Sm 2.86
Sm: 0.4590 0.4590 0.0000  1 Nd 2.86
Sm: 0.4802 0.8783 0.8994  5 Sc 3.07-3.44, 1 Nd 3.34, 1 Sm 3.34
Sm: 0.5808 0.4802 0.6019  5 Sc 3.07-3.44, 1 Nd 3.34, 1 Sm 3.34
Sm: 0.8783 0.9789 0.3981  5 Sc 3.07-3.44, 1 Nd 3.34, 1 Sm 3.34
Sm: 0.9789 0.5808 0.1006  5 Sc 3.07-3.44, 1 Nd 3.34, 1 Sm 3.34
Sc: 0.1716 0.8699 0.5810  1 Sc 3.01, 2 Sm 3.07-3.11
Sc: 0.2889 0.5906 0.4190  1 Sc 3.01, 2 Sm 3.07-3.11
Sc: 0.5906 0.1716 0.3017  1 Sc 3.01, 2 Sm 3.07-3.11
Sc: 0.8699 0.2889 0.6983  1 Sc 3.01, 2 Sm 3.07-3.11